# KAl (GGA-PBE, optimized geometry)
# formation energy from the elements: 275.3 meV/atom
# M_tot: 0.0 μB per formula unit
data_KAl
_cell_length_a 4.4326
_cell_length_b 4.4326
_cell_length_c 10.2961
_cell_angle_alpha 90.00
_cell_angle_beta 90.00
_cell_angle_gamma 120.00
_space_group_name_H-M_alt 'P -3 m 1'
_space_group_IT_number 164
_space_group_name_Hall '-P 3 2"'
loop_
_atom_site_label
_atom_site_fract_x
_atom_site_fract_y
_atom_site_fract_z
K1 0.3333 0.6667 0.2000
Al1 0.3333 0.6667 0.5302

---

# Na2CdHg6 (GGA-PBE, optimized geometry)
# formation energy from the elements: -146.6 meV/atom
# M_tot: 0.0 μB per formula unit
data_Na2CdHg6
_cell_length_a 12.157
_cell_length_b 6.953
_cell_length_c 5.754
_cell_angle_alpha 90.00
_cell_angle_beta 90.33
_cell_angle_gamma 90.00
_space_group_name_H-M_alt 'C 1 2/m 1'
_space_group_IT_number 12
_space_group_name_Hall '-C 2y'
loop_
_atom_site_label
_atom_site_fract_x
_atom_site_fract_y
_atom_site_fract_z
Na1 0.166 0.000 0.176
Cd1 0.000 0.500 0.000
Hg1 0.094 0.222 0.679
Hg2 0.188 0.500 0.316